Density functional theory data (PBE) for an optimized crystal structure of PrDyErTh.

a = 5.700 Å, b = 5.700 Å, c = 5.700 Å
α = 60.00°, β = 60.00°, γ = 60.00°
Sites, in units of the cell vectors:
Pr1 0.250 0.250 0.250
Er1 0.500 0.500 0.500
Th1 0.750 0.750 0.750
Dy1 0.000 0.000 0.000

Summary:
DFT total energy: -5.2060 eV/atom
polymorph energy (0 for the lowest one): 119 meV/atom
energy of formation: 0.14 eV per atom
spin magnetization: 0.0 μB/cell
SG: F-43m, No. 216
Fermi-level density of states: 2.0464 states/eV per atom
mass density: 8.91 g/cm³